# PBE AcPbAu, relaxed
data_AcPbAu
_chemical_formula_sum 'Ac1 Pb1 Au1'
_space_group_name_H-M_alt 'P 3 m 1'
_space_group_IT_number 156
_cell_length_a 4.9404
_cell_length_b 4.9404
_cell_length_c 4.2856
_cell_angle_alpha 90.00
_cell_angle_beta 90.00
_cell_angle_gamma 120.00
loop_
_space_group_symop_operation_xyz
'x,y,z'
'-y,x-y,z'
'-x+y,-x,z'
'-y,-x,z'
'-x+y,y,z'
'x,x-y,z'
loop_
_atom_site_label
_atom_site_type_symbol
_atom_site_fract_x
_atom_site_fract_y
_atom_site_fract_z
Ac1 Ac 0.0000 0.0000 0.0000
Pb1 Pb 0.3333 0.6667 0.4723
Au1 Au 0.6667 0.3333 0.5533
# DFT formation energy = -1.83 eV per formula unit
# E above lowest polymorph = 0.24 eV/f.u.
# total DFT energy (no corrections) = -4.309 eV/atom
# ρ = 11.6 Mg/m³